Compound: Mn3Pd12Rh
Source: the Alexandria database
Functional: PBE
Structure: relaxed

Output
Calculated formation energy = -0.147 eV/atom
Crystal system = tetragonal
Total magnetization = 12.898 μB/cell
Symmetry = No. 123

The structure in CIF format:
```
data_Mn3Pd12Rh
_space_group_name_H-M_alt 'P 1'
_space_group_IT_number 1
_cell_length_a 3.924
_cell_length_b 3.924
_cell_length_c 15.689
_cell_angle_alpha 90.00
_cell_angle_beta 90.00
_cell_angle_gamma 90.00
loop_
_space_group_symop_operation_xyz
'x,y,z'
loop_
_atom_site_label
_atom_site_fract_x
_atom_site_fract_y
_atom_site_fract_z
_atom_site_occupancy
Mn1 0.000 0.000 0.000 1
Mn2 0.000 0.000 0.249 1
Mn3 0.000 0.000 0.751 1
Pd1 0.000 0.500 0.125 1
Pd2 0.000 0.500 0.374 1
Pd3 0.000 0.500 0.626 1
Pd4 0.000 0.500 0.875 1
Pd5 0.500 0.000 0.125 1
Pd6 0.500 0.000 0.374 1
Pd7 0.500 0.000 0.626 1
Pd8 0.500 0.000 0.875 1
Pd9 0.500 0.500 0.000 1
Pd10 0.500 0.500 0.250 1
Pd11 0.500 0.500 0.500 1
Pd12 0.500 0.500 0.750 1
Rh1 0.000 0.000 0.500 1
```